1.
Here is an optimized crystal structure of DyCo6Ge6 from the Open Quantum Materials Database. Energies are from PBE.

Cell and atoms, written as POSCAR:
```
DyCo6Ge6
1.0
5.0939 0.0000 0.0000
-2.5469 4.4114 0.0000
0.0000 0.0000 7.8428
Dy Co Ge
1 6 6
Cartesian
0.0000 0.0000 0.0000
-1.2735 2.2057 1.9695
-1.2735 2.2057 5.8733
2.5469 0.0000 1.9695
2.5469 0.0000 5.8733
1.2735 2.2057 1.9695
1.2735 2.2057 5.8733
0.0000 0.0000 2.7049
0.0000 0.0000 5.1379
0.0000 2.9409 0.0000
0.0000 2.9409 3.9214
2.5469 1.4705 0.0000
2.5469 1.4705 3.9214
```

space group: P6/mmm (191)

2.
Here is an optimized crystal structure of DyCoGe from the Open Quantum Materials Database. Energies are from PBE.

Cell and atoms, written as POSCAR:
```
DyCoGe
1.0
0.0000 3.0660 3.0660
3.0660 0.0000 3.0660
3.0660 3.0660 0.0000
Dy Co Ge
1 1 1
Cartesian
0.0000 0.0000 0.0000
1.5330 1.5330 1.5330
3.0660 3.0660 3.0660
```

space group: F-43m (216)

3.
Here is an optimized crystal structure of Dy2Co3Ge5 from the Open Quantum Materials Database. Energies are from PBE.

Cell and atoms, written as POSCAR:
```
Dy2Co3Ge5
1.0
5.5460 -5.8753 0.0000
5.5460 5.8753 0.0000
-2.8205 0.0000 4.9943
Dy Co Ge
4 6 10
Cartesian
1.9219 1.6345 1.1644
0.5116 -1.6345 3.6615
7.7599 1.6345 1.3328
6.3496 -1.6345 3.8299
3.3584 4.2259 1.9133
6.3234 4.2259 0.5838
4.8409 0.0324 1.2486
3.4306 -0.0324 3.7457
1.9481 -4.2259 4.4105
4.9131 -4.2259 3.0809
3.4306 5.7896 3.7457
1.3365 1.0827 4.1426
3.4306 2.6690 3.7457
4.8409 2.5433 1.2486
2.7468 -1.0827 1.6454
5.5247 1.0827 3.3488
3.4306 -2.5433 3.7457
4.8409 -2.6690 1.2486
6.9349 -1.0827 0.8517
4.8409 -5.7896 1.2486
```

space group: C2/c (15)

4.
Here is an optimized crystal structure of DyCoGe from the Open Quantum Materials Database. Energies are from PBE.

Cell and atoms, written as POSCAR:
```
DyCoGe
1.0
6.8991 0.0000 0.0000
0.0000 4.2355 0.0000
0.0000 0.0000 7.1610
Dy Co Ge
4 4 4
Cartesian
0.0742 1.0589 1.4099
3.3753 3.1766 4.9905
3.5238 1.0589 2.1706
6.8249 3.1766 5.7511
1.0598 3.1766 3.0938
2.3898 1.0589 6.6743
4.5093 3.1766 0.4867
5.8393 1.0589 4.0672
1.3932 1.0589 4.3026
2.0563 3.1766 0.7221
4.8428 1.0589 6.4390
5.5059 3.1766 2.8584
```

space group: Pnma (62)

5.
Here is an optimized crystal structure of Dy2HoCo2Ge4 from the Open Quantum Materials Database. Energies are from PBE.

Cell and atoms, written as POSCAR:
```
Dy2HoCo2Ge4
1.0
5.3097 -2.0755 0.0000
5.3097 2.0755 0.0000
-2.4248 0.0000 7.6314
Dy Ho Co Ge
2 1 2 4
Cartesian
0.8435 0.0000 1.4723
7.3511 0.0000 6.1592
4.0973 0.0000 3.8157
-0.0793 0.0000 6.6572
8.2740 0.0000 0.9742
0.8059 0.0000 4.4333
4.0286 0.0000 0.7707
4.1660 0.0000 6.8608
7.3888 0.0000 3.1981
```

space group: C2/m (12)

6.
Here is an optimized crystal structure of Dy4InCo2Ge4 from the Open Quantum Materials Database. Energies are from PBE.

Cell and atoms, written as POSCAR:
```
Dy4InCo2Ge4
1.0
7.7321 -2.1155 0.0000
7.7321 2.1155 0.0000
-2.1560 0.0000 6.6962
Dy In Co Ge
4 1 2 4
Cartesian
0.5604 0.0000 2.5994
0.3583 0.0000 6.2979
12.9499 0.0000 0.3983
12.7478 0.0000 4.0967
7.7321 0.0000 0.0000
3.5233 0.0000 2.4976
9.7849 0.0000 4.1986
2.9639 0.0000 4.8857
5.9346 0.0000 2.2847
7.3736 0.0000 4.4115
10.3443 0.0000 1.8105
```

space group: C2/m (12)

Summary of E in eV/atom
-6.113; -5.791; -5.950; -6.107; -5.880; -5.617
(order as listed above)